VASP calculation (GGA-PBEsol) on crystalline Cu2SiNi at its relaxed geometry.

Computed properties:
Formation energy from raw total energies ... -238 meV/atom
Symmetry ... P4/mmm (123)
Size of the total moment ... 0.00 μB per atom

Cell: 3.4714 3.4714 3.6675 Å, 90.00 90.00 90.00°
Fractional positions:
Si 0.0000 0.0000 0.5000
Cu 0.0000 0.5000 0.0000
Ni 0.5000 0.5000 0.5000
Cu 0.5000 0.0000 0.0000



VASP calculation (GGA-PBEsol) on crystalline LaAsRu2 at its relaxed geometry.

Computed properties:
Energy of formation from the pure elements ... 11 meV per atom
Symmetry ... Imm2 (44)
Size of the total moment ... 0.00 μB per atom

Cell: 3.1706 4.5935 5.5586 Å, 114.41 106.57 90.00°
Fractional positions:
Ru 0.0164 0.0164 0.0329
As 0.4728 0.4728 0.9456
La 0.2433 0.7433 0.4866
Ru 0.7675 0.2675 0.5349



VASP calculation (GGA-PBEsol) on crystalline Ta2SbRhO at its relaxed geometry.

Computed properties:
Formation energy from raw total energies ... 1407 meV/atom
Symmetry ... P4/mmm (123)
Size of the total moment ... 0.00 μB per atom

Cell: 3.8232 5.1356 5.1356 Å, 90.00 90.00 90.00°
Fractional positions:
Sb 0.0000 0.0000 0.0000
O 0.5000 0.0000 0.0000
Rh 0.5000 0.5000 0.5000
Ta 0.0000 0.5000 0.0000
Ta 0.0000 0.0000 0.5000



VASP calculation (GGA-PBEsol) on crystalline Cs2TcAu at its relaxed geometry.

Computed properties:
Energy of formation from the pure elements ... 1342 meV per atom
Symmetry ... Fm-3m (225)
Size of the total moment ... 1.00 μB per atom

Cell: 5.8385 5.8385 5.8385 Å, 60.00 60.00 60.00°
Each line ends with the local moment (μB).
Fractional positions:
Au 0.5000 0.5000 0.5000  0.05
Cs 0.7500 0.7500 0.7500  0.03
Cs 0.2500 0.2500 0.2500  0.03
Tc 0.0000 0.0000 0.0000  3.36



VASP calculation (GGA-PBEsol) on crystalline TeMoAs at its relaxed geometry.

Computed properties:
Formation energy from raw total energies ... 280 meV/atom
Symmetry ... Fmm2 (42)
Size of the total moment ... 0.00 μB per atom

Cell: 3.0609 3.0609 7.2314 Å, 97.56 97.56 112.21°
Fractional positions:
Mo 0.3425 0.3425 0.6850
As 0.9711 0.9711 0.9422
Te 0.6864 0.6864 0.3728



VASP calculation (GGA-PBEsol) on crystalline Y3Mn2Sb3O14 at its relaxed geometry.

Computed properties:
Formation energy from raw total energies ... -2234 meV/atom
Symmetry ... R-3m (166)
Size of the total moment ... 0.45 μB per atom

Cell: 7.1405 7.1405 7.1405 Å, 62.30 62.30 62.30°
Each line ends with the local moment (μB).
Fractional positions:
Y 0.5000 0.0000 0.0000  0.02
O 0.8539 0.4034 0.4034  0.03
Sb 0.0000 0.5000 0.5000  0.02
Sb 0.5000 0.0000 0.5000  0.02
Y 0.0000 0.5000 0.0000  0.02
Y 0.0000 0.0000 0.5000  0.02
O 0.1461 0.5966 0.5966  0.03
O 0.1180 0.1180 0.1180  0.04
O 0.5966 0.5966 0.1461  0.03
Mn 0.5000 0.5000 0.5000  4.38
O 0.4034 0.4034 0.8539  0.03
O 0.8245 0.4175 0.8245  0.03
O 0.8245 0.8245 0.4175  0.03
O 0.4034 0.8539 0.4034  0.03
O 0.4175 0.8245 0.8245  0.03
Sb 0.5000 0.5000 0.0000  0.02
O 0.1755 0.5825 0.1755  0.03
O 0.1755 0.1755 0.5825  0.03
O 0.5825 0.1755 0.1755  0.03
O 0.5966 0.1461 0.5966  0.03
O 0.8820 0.8820 0.8820  0.04
Mn 0.0000 0.0000 0.0000  4.45



VASP calculation (GGA-PBEsol) on crystalline Y2MoP at its relaxed geometry.

Computed properties:
Energy of formation from the pure elements ... 84 meV per atom
Symmetry ... F-43m (216)
Size of the total moment ... 0.17 μB per atom

Cell: 4.7143 4.7143 4.7143 Å, 60.00 60.00 60.00°
Each line ends with the local moment (μB).
Fractional positions:
Y 0.7500 0.7500 0.7500  0.13
Mo 0.5000 0.5000 0.5000  0.51
Y 0.0000 0.0000 0.0000  -0.01
P 0.2500 0.2500 0.2500  0.00



VASP calculation (GGA-PBEsol) on crystalline TlAsPd3 at its relaxed geometry.

Computed properties:
Energy of formation from the pure elements ... 74 meV per atom
Symmetry ... Pm-3m (221)
Size of the total moment ... 0.00 μB per atom

Cell: 4.6334 4.6334 4.6334 Å, 90.00 90.00 90.00°
Fractional positions:
Tl 0.5000 0.5000 0.5000
Pd 0.0000 0.5000 0.0000
Pd 0.5000 0.0000 0.0000
Pd 0.0000 0.0000 0.5000
As 0.0000 0.0000 0.0000



VASP calculation (GGA-PBEsol) on crystalline Rb2Cd3H6S3O16 at its relaxed geometry.

Computed properties:
Total energy ... -5.48 eV/atom
Symmetry ... Cmc2_1 (36)
Size of the total moment ... 0.00 μB per atom

Cell: 8.1053 10.0024 10.2136 Å, 90.00 90.00 113.90°
Fractional positions:
H 0.5547 0.0000 0.4661
S 0.8821 0.3644 0.9436
S 0.5177 0.6356 0.9436
H 0.4453 0.0000 0.9661
H 0.7306 0.8229 0.4997
Cd 0.1848 0.0000 0.4528
S 0.8053 0.0000 0.2822
H 0.9077 0.1771 0.4997
Rb 0.8552 0.6270 0.7185
O 0.2565 0.6697 0.3402
O 0.9169 0.0000 0.1669
O 0.4306 0.6277 0.0744
O 0.6586 0.0000 0.7708
O 0.3652 0.1337 0.7851
O 0.5366 0.0000 0.0293
O 0.9598 0.2517 0.9482
Rb 0.1448 0.3730 0.2185
O 0.6474 0.7425 0.5547
O 0.9684 0.4923 0.4157
O 0.5694 0.3723 0.5744
Cd 0.4452 0.8105 0.6603
Cd 0.6348 0.1895 0.6603
O 0.0402 0.7483 0.4482
O 0.9058 0.0000 0.4070
H 0.2694 0.1771 0.9997
O 0.8029 0.3723 0.0744
H 0.0754 0.6561 0.9951
O 0.3414 0.0000 0.2708
O 0.1971 0.6277 0.5744
Rb 0.7718 0.6270 0.2185
O 0.0831 0.0000 0.6669
Cd 0.8152 0.0000 0.9528
S 0.1179 0.6356 0.4436
O 0.0316 0.5077 0.9157
O 0.7684 0.1337 0.2851
O 0.7081 0.7483 0.9482
S 0.4823 0.3644 0.4436
Cd 0.5548 0.1895 0.1603
S 0.1947 0.0000 0.7822
H 0.5807 0.6561 0.4951
H 0.5665 0.0000 0.8335
O 0.4634 0.0000 0.5293
Cd 0.3652 0.8105 0.1603
H 0.4335 0.0000 0.3335
O 0.5868 0.3303 0.3402
H 0.0923 0.8229 0.9997
O 0.5239 0.4923 0.9157
O 0.0951 0.7425 0.0547
O 0.0942 0.0000 0.9070
O 0.9049 0.2575 0.5547
O 0.4132 0.6697 0.8402
O 0.6348 0.8663 0.2851
O 0.2919 0.2517 0.4482
H 0.9246 0.3439 0.4951
O 0.2316 0.8663 0.7851
O 0.4761 0.5077 0.4157
H 0.4193 0.3439 0.9951
O 0.3526 0.2575 0.0547
O 0.7435 0.3303 0.8402
Rb 0.2282 0.3730 0.7185



VASP calculation (GGA-PBEsol) on crystalline Zr2MnCo at its relaxed geometry.

Computed properties:
Energy of formation from the pure elements ... 35 meV per atom
Symmetry ... I-4m2 (119)
Size of the total moment ... 0.35 μB per atom

Cell: 3.6918 3.6918 5.3203 Å, 110.30 110.30 90.00°
Each line ends with the local moment (μB).
Fractional positions:
Zr 0.0000 0.0000 0.0000  -0.15
Co 0.5000 0.5000 0.0000  0.13
Mn 0.2500 0.7500 0.5000  1.87
Zr 0.7500 0.2500 0.5000  -0.31



VASP calculation (GGA-PBEsol) on crystalline Ca2Sc2O at its relaxed geometry.

Computed properties:
Formation energy from raw total energies ... -252 meV/atom
Symmetry ... I4/mmm (139)
Size of the total moment ... 0.00 μB per atom

Cell: 3.5417 3.5417 9.4181 Å, 100.84 100.84 90.00°
Fractional positions:
Ca 0.4197 0.4197 0.8395
Ca 0.5803 0.5803 0.1605
Sc 0.7500 0.2500 0.5000
Sc 0.2500 0.7500 0.5000
O 0.0000 0.0000 0.0000



VASP calculation (GGA-PBEsol) on crystalline KMg2Pb2 at its relaxed geometry.

Computed properties:
Energy of formation from the pure elements ... -144 meV per atom
Symmetry ... I4/mmm (139)
Size of the total moment ... 0.00 μB per atom
Polymorph energy (0 for the lowest one) ... 0.00 kJ per mole of atoms

Cell: 4.8985 4.8985 7.2519 Å, 109.74 109.74 90.00°
Fractional positions:
K 0.0000 0.0000 0.0000
Mg 0.2500 0.7500 0.5000
Pb 0.6172 0.6172 0.2344
Pb 0.3828 0.3828 0.7656
Mg 0.7500 0.2500 0.5000



size of the total moment of number 1 (Cu2SiNi)? 0.00 μB per atom



size of the total moment of number 4 (Cs2TcAu)? 1.00 μB per atom



Number 9 is which compound? Rb2Cd3H6S3O16



Repeat the fifth record exactly.
VASP calculation (GGA-PBEsol) on crystalline TeMoAs at its relaxed geometry.

Computed properties:
Formation energy from raw total energies ... 280 meV/atom
Symmetry ... Fmm2 (42)
Size of the total moment ... 0.00 μB per atom

Cell: 3.0609 3.0609 7.2314 Å, 97.56 97.56 112.21°
Fractional positions:
Mo 0.3425 0.3425 0.6850
As 0.9711 0.9711 0.9422
Te 0.6864 0.6864 0.3728